(one)
YSc2Os | GGA-PBEsol | optimized geometry

Its total magnetic moment is 0.00 μB/f.u.

It has space group P4/mmm (No. 123), with a = 3.215 Å, b = 3.215 Å, c = 8.443 Å, α = 90.00°, β = 90.00° and γ = 90.00°. The inequivalent atoms are Y at (0.000, 0.000, 0.000), Sc at (0.500, 0.500, 0.320) and Os at (0.000, 0.000, 0.500).

---

(two)
YSc2Os | GGA-PBEsol | optimized geometry

Its total magnetic moment is 0.00 μB/f.u.

It has space group Immm (No. 71), with a = 3.357 Å, b = 4.978 Å, c = 10.243 Å, α = 90.00°, β = 90.00° and γ = 90.00°. The inequivalent atoms are Y at (0.000, 0.000, 0.000), Sc at (0.000, 0.500, 0.202) and Os at (0.000, 0.000, 0.500).

---

(three)
YSc2Os | GGA-PBEsol | optimized geometry

Its total magnetic moment is 0.00 μB/f.u.

It has space group Imm2 (No. 44), with a = 3.381 Å, b = 4.850 Å, c = 10.285 Å, α = 90.00°, β = 90.00° and γ = 90.00°. The inequivalent atoms are Y at (0.000, 0.000, 0.000), Sc at (0.000, 0.000, 0.592), Sc at (0.000, 0.500, 0.791) and Os at (0.000, 0.500, 0.285).

---

The data favor (one); the next most stable structure lies 8 meV/atom above it.

---

(one)
ZrSc2Os | GGA-PBEsol | optimized geometry

Its total magnetic moment is 0.00 μB/f.u.

It has space group Imm2 (No. 44), with a = 3.313 Å, b = 4.810 Å, c = 9.830 Å, α = 90.00°, β = 90.00° and γ = 90.00°. The inequivalent atoms are Zr at (0.000, 0.000, 0.000), Sc at (0.000, 0.000, 0.422), Sc at (0.000, 0.500, 0.212) and Os at (0.000, 0.500, 0.708).

---

(two)
ZrSc2Os | GGA-PBEsol | optimized geometry

Its total magnetic moment is 0.00 μB/f.u.

It has space group Immm (No. 71), with a = 3.276 Å, b = 4.715 Å, c = 10.003 Å, α = 90.00°, β = 90.00° and γ = 90.00°. The inequivalent atoms are Zr at (0.000, 0.000, 0.000), Sc at (0.000, 0.500, 0.213) and Os at (0.000, 0.000, 0.500).

---

The data favor (two); the next most stable structure lies 14 meV/atom above it.